A relaxed TbTh2Se6 crystal. Source: Alexandria, functional PBE.

Cell and atoms, written as CIF:
```
data_TbTh2Se6
_chemical_formula_sum 'Tb2 Th4 Se12'
_cell_length_a 6.791
_cell_length_b 6.791
_cell_length_c 13.095
_cell_angle_alpha 90.00
_cell_angle_beta 90.00
_cell_angle_gamma 90.00
_space_group_name_H-M_alt 'P 1'
_space_group_IT_number 1
loop_
_space_group_symop_operation_xyz
'x,y,z'
loop_
_atom_site_label
_atom_site_fract_x
_atom_site_fract_y
_atom_site_fract_z
Tb1 0.000 0.000 0.000
Tb2 0.500 0.500 0.500
Th1 0.000 0.000 0.332
Th2 0.000 0.000 0.668
Th3 0.500 0.500 0.168
Th4 0.500 0.500 0.832
Se1 0.198 0.198 0.164
Se2 0.198 0.198 0.500
Se3 0.198 0.198 0.836
Se4 0.302 0.698 0.000
Se5 0.302 0.698 0.336
Se6 0.302 0.698 0.664
Se7 0.698 0.302 0.000
Se8 0.698 0.302 0.336
Se9 0.698 0.302 0.664
Se10 0.802 0.802 0.164
Se11 0.802 0.802 0.500
Se12 0.802 0.802 0.836
```

- Spin magnetization: 0.000 μB/f.u.
- Total energy: -5.993 eV per atom
- Fermi-level density of states: 13.100 states/eV/cell
- Energy relative to the elements, uncorrected: -1.507 eV/atom

---

A relaxed Tb3Th5Se8 crystal. Source: Alexandria, functional PBE.

Cell and atoms, written as CIF:
```
data_Tb3Th5Se8
_chemical_formula_sum 'Tb3 Th5 Se8'
_cell_length_a 8.464
_cell_length_b 8.464
_cell_length_c 8.464
_cell_angle_alpha 57.92
_cell_angle_beta 57.92
_cell_angle_gamma 57.92
_space_group_name_H-M_alt 'P 1'
_space_group_IT_number 1
loop_
_space_group_symop_operation_xyz
'x,y,z'
loop_
_atom_site_label
_atom_site_fract_x
_atom_site_fract_y
_atom_site_fract_z
Tb1 0.000 0.500 0.500
Tb2 0.500 0.000 0.500
Tb3 0.500 0.500 0.000
Th1 0.000 0.000 0.000
Th2 0.000 0.000 0.500
Th3 0.000 0.500 0.000
Th4 0.500 0.000 0.000
Th5 0.500 0.500 0.500
Se1 0.250 0.250 0.740
Se2 0.250 0.740 0.250
Se3 0.255 0.255 0.255
Se4 0.260 0.750 0.750
Se5 0.740 0.250 0.250
Se6 0.745 0.745 0.745
Se7 0.750 0.260 0.750
Se8 0.750 0.750 0.260
```

- Spin magnetization: 0.000 μB/f.u.
- Total energy: -6.550 eV per atom
- Fermi-level density of states: 8.157 states/eV/cell
- Energy relative to the elements, uncorrected: -1.621 eV/atom

---

A relaxed Tb4ThSe5 crystal. Source: Alexandria, functional PBE.

Cell and atoms, written as CIF:
```
data_Tb4ThSe5
_chemical_formula_sum 'Tb4 Th1 Se5'
_cell_length_a 7.134
_cell_length_b 7.134
_cell_length_c 7.134
_cell_angle_alpha 99.62
_cell_angle_beta 99.62
_cell_angle_gamma 131.74
_space_group_name_H-M_alt 'P 1'
_space_group_IT_number 1
loop_
_space_group_symop_operation_xyz
'x,y,z'
loop_
_atom_site_label
_atom_site_fract_x
_atom_site_fract_y
_atom_site_fract_z
Tb1 0.101 0.703 0.804
Tb2 0.297 0.101 0.397
Tb3 0.703 0.899 0.603
Tb4 0.899 0.297 0.196
Th1 0.500 0.500 0.000
Se1 0.000 0.000 0.000
Se2 0.194 0.400 0.594
Se3 0.400 0.806 0.206
Se4 0.600 0.194 0.794
Se5 0.806 0.600 0.406
```

- Spin magnetization: 0.000 μB/f.u.
- Total energy: -6.049 eV per atom
- Fermi-level density of states: 5.922 states/eV/cell
- Energy relative to the elements, uncorrected: -1.713 eV/atom

---

A relaxed TbThSe crystal. Source: Alexandria, functional PBE.

Cell and atoms, written as CIF:
```
data_TbThSe
_chemical_formula_sum 'Tb1 Th1 Se1'
_cell_length_a 3.894
_cell_length_b 3.894
_cell_length_c 6.798
_cell_angle_alpha 90.00
_cell_angle_beta 90.00
_cell_angle_gamma 120.00
_space_group_name_H-M_alt 'P 1'
_space_group_IT_number 1
loop_
_space_group_symop_operation_xyz
'x,y,z'
loop_
_atom_site_label
_atom_site_fract_x
_atom_site_fract_y
_atom_site_fract_z
Tb1 0.000 0.000 0.000
Th1 0.333 0.667 0.569
Se1 0.667 0.333 0.272
```

- Spin magnetization: 0.800 μB/f.u.
- Excess energy over the best structure of this formula in the dataset: 0 meV per atom
- Total energy: -6.112 eV per atom
- Fermi-level density of states: 3.155 states/eV/cell
- Energy relative to the elements, uncorrected: -0.934 eV/atom

---

A relaxed TbTh3Se6 crystal. Source: Alexandria, functional PBE.

Cell and atoms, written as CIF:
```
data_TbTh3Se6
_chemical_formula_sum 'Tb2 Th6 Se12'
_cell_length_a 8.473
_cell_length_b 8.473
_cell_length_c 8.473
_cell_angle_alpha 87.46
_cell_angle_beta 87.46
_cell_angle_gamma 87.46
_space_group_name_H-M_alt 'P 1'
_space_group_IT_number 1
loop_
_space_group_symop_operation_xyz
'x,y,z'
loop_
_atom_site_label
_atom_site_fract_x
_atom_site_fract_y
_atom_site_fract_z
Tb1 0.000 0.000 0.000
Tb2 0.500 0.500 0.500
Th1 0.069 0.213 0.581
Th2 0.213 0.581 0.069
Th3 0.419 0.931 0.787
Th4 0.581 0.069 0.213
Th5 0.787 0.419 0.931
Th6 0.931 0.787 0.419
Se1 0.093 0.874 0.693
Se2 0.126 0.307 0.907
Se3 0.178 0.530 0.410
Se4 0.307 0.907 0.126
Se5 0.410 0.178 0.530
Se6 0.470 0.590 0.822
Se7 0.530 0.410 0.178
Se8 0.590 0.822 0.470
Se9 0.693 0.093 0.874
Se10 0.822 0.470 0.590
Se11 0.874 0.693 0.093
Se12 0.907 0.126 0.307
```

- Spin magnetization: 0.000 μB/f.u.
- Total energy: -6.347 eV per atom
- Fermi-level density of states: 9.113 states/eV/cell
- Energy relative to the elements, uncorrected: -1.568 eV/atom

---

A relaxed Tb2Tm3ThSe6 crystal. Source: Alexandria, functional PBE.

Cell and atoms, written as CIF:
```
data_Tb2Tm3ThSe6
_chemical_formula_sum 'Tb2 Tm3 Th1 Se6'
_cell_length_a 9.187
_cell_length_b 9.187
_cell_length_c 8.228
_cell_angle_alpha 104.51
_cell_angle_beta 104.51
_cell_angle_gamma 25.42
_space_group_name_H-M_alt 'P 1'
_space_group_IT_number 1
loop_
_space_group_symop_operation_xyz
'x,y,z'
loop_
_atom_site_label
_atom_site_fract_x
_atom_site_fract_y
_atom_site_fract_z
Tb1 0.161 0.161 0.324
Tb2 0.839 0.839 0.676
Tm1 0.163 0.163 0.833
Tm2 0.500 0.500 0.500
Tm3 0.837 0.837 0.167
Th1 0.500 0.500 0.000
Se1 0.002 0.002 0.736
Se2 0.327 0.327 0.921
Se3 0.333 0.333 0.413
Se4 0.667 0.667 0.587
Se5 0.673 0.673 0.079
Se6 0.998 0.998 0.264
```

- Spin magnetization: 0.000 μB/f.u.
- Total energy: -5.921 eV per atom
- Fermi-level density of states: 6.606 states/eV/cell
- Energy relative to the elements, uncorrected: -1.670 eV/atom

---

A relaxed Tb3Tm2ThSe6 crystal. Source: Alexandria, functional PBE.

Cell and atoms, written as CIF:
```
data_Tb3Tm2ThSe6
_chemical_formula_sum 'Tb3 Tm2 Th1 Se6'
_cell_length_a 9.102
_cell_length_b 9.102
_cell_length_c 8.263
_cell_angle_alpha 101.33
_cell_angle_beta 101.33
_cell_angle_gamma 25.73
_space_group_name_H-M_alt 'P 1'
_space_group_IT_number 1
loop_
_space_group_symop_operation_xyz
'x,y,z'
loop_
_atom_site_label
_atom_site_fract_x
_atom_site_fract_y
_atom_site_fract_z
Tb1 0.000 0.000 0.000
Tb2 0.342 0.342 0.665
Tb3 0.658 0.658 0.335
Tm1 0.336 0.336 0.169
Tm2 0.664 0.664 0.831
Th1 0.000 0.000 0.500
Se1 0.170 0.170 0.081
Se2 0.174 0.174 0.594
Se3 0.495 0.495 0.237
Se4 0.505 0.505 0.763
Se5 0.826 0.826 0.406
Se6 0.830 0.830 0.919
```

- Spin magnetization: 0.000 μB/f.u.
- Total energy: -5.952 eV per atom
- Fermi-level density of states: 6.105 states/eV/cell
- Energy relative to the elements, uncorrected: -1.689 eV/atom

---

A relaxed Tb2TmThSe4 crystal. Source: Alexandria, functional PBE.

Cell and atoms, written as CIF:
```
data_Tb2TmThSe4
_chemical_formula_sum 'Tb2 Tm1 Th1 Se4'
_cell_length_a 7.074
_cell_length_b 4.064
_cell_length_c 7.212
_cell_angle_alpha 90.00
_cell_angle_beta 109.00
_cell_angle_gamma 90.00
_space_group_name_H-M_alt 'P 1'
_space_group_IT_number 1
loop_
_space_group_symop_operation_xyz
'x,y,z'
loop_
_atom_site_label
_atom_site_fract_x
_atom_site_fract_y
_atom_site_fract_z
Tb1 0.000 0.000 0.000
Tb2 0.000 0.500 0.500
Tm1 0.500 0.000 0.500
Th1 0.500 0.500 0.000
Se1 0.244 0.000 0.738
Se2 0.252 0.500 0.260
Se3 0.748 0.500 0.740
Se4 0.756 0.000 0.262
```

- Spin magnetization: 0.000 μB/f.u.
- Total energy: -6.054 eV per atom
- Fermi-level density of states: 4.276 states/eV/cell
- Energy relative to the elements, uncorrected: -1.668 eV/atom